Below is LaHg2Au2 after structural relaxation, with properties calculated at the PBE level.

* DFT total energy: -14.4 eV/cell
* DOS at the Fermi energy: 2.4 states/eV/cell
* offset from the most stable computed form: 0.0 kJ per mole of atoms
* calculated volume: 118.52 Å³/f.u.
* symmetry: P-1, No. 2

Cell: 5.1647 5.1148 5.7822 Å, 68.01 89.36 59.22°
With the nearest neighbours (Å) after each atom.
Sites, in units of the cell vectors:
1 La 0.5000 0.5000 0.0000  6 Au 3.18-3.23, 8 Hg 3.39-3.49
2 Hg 0.2664 0.9622 0.3421  4 Au 2.98-3.03, 2 Hg 3.22-3.30
3 Hg 0.7336 0.0378 0.6579  4 Au 2.98-3.03, 2 Hg 3.22-3.30
4 Au 0.1017 0.3012 0.7621  1 Au 2.77, 4 Hg 2.98-3.03
5 Au 0.8983 0.6988 0.2379  1 Au 2.77, 4 Hg 2.98-3.03